First-principles (PBE) data for a geometry-optimized Cd2AsPb structure, as listed in Alexandria.

Summary:
- Size of the total moment: 0.000 μB/f.u.
- Formation enthalpy at 0 K: 0.073 eV/atom
- SG: No. 160
- Offset from the most stable computed form: 0.01 eV per formula unit
- Crystal system: trigonal
- Raw total energy: -2.474 eV/atom
- DOS(E_F): 0.58 states/eV per atom

Unit cell a=4.476 b=4.476 c=6.737 alpha=70.60 beta=70.60 gamma=60.00
Fractional positions:
Cd 0.068 0.068 0.796
Cd 0.265 0.265 0.206
As 0.667 0.667 0.999
Pb 0.501 0.501 0.498